Computed, not measured: a relaxed structure of Sm4SiSeI2 at the GGA-PBE level of DFT.

Output
Formation energy from raw total energies (eV/atom): -1.16

Unit cell a=7.3890 b=4.2944 c=7.9388 alpha=90.00 beta=108.44 gamma=90.00
Closest atoms and distances in Å follow each position.
Space group P2/m (No. 10)
Unique sites:
1 Sm 0.2217 0.0000 0.1932 x2  2 Si 2.84, 1 Se 2.93
2 Sm 0.2587 0.5000 0.8082 x2  1 Si 2.80, 2 Se 2.90
3 Si 0.0000 0.5000 0.0000 x1  6 Sm 2.80-2.84
4 Se 0.5000 0.0000 0.0000 x1  6 Sm 2.90-2.93
5 I 0.0000 0.0000 0.5000 x1  6 Sm 3.34-3.36
6 I 0.5000 0.5000 0.5000 x1  6 Sm 3.41-3.45

Computed, not measured: a relaxed structure of Tm2Fe2P2C at the GGA-PBE level of DFT.

Output
Energy relative to the elements (eV/f.u.): -6.38

Unit cell a=10.3904 b=3.7482 c=6.4719 alpha=90.00 beta=126.72 gamma=90.00
Closest atoms and distances in Å follow each position.
Space group C2/m (No. 12)
Unique sites:
1 Tm 0.0616 0.0000 0.3033 x4  2 C 2.50
2 Fe 0.1973 0.5000 0.0827 x4  1 C 1.78
3 P 0.1747 0.5000 0.7143 x4  3 Fe 2.22-2.25
4 C 0.0000 0.5000 0.0000 x2  2 Fe 1.78

Computed, not measured: a relaxed structure of ZnIrAu2 at the GGA-PBE level of DFT.

Output
Energy relative to the elements (eV/f.u.): 0.33

Unit cell a=9.4222 b=2.9884 c=4.7788 alpha=90.00 beta=105.56 gamma=90.00
Closest atoms and distances in Å follow each position.
Space group Cm (No. 8)
Unique sites:
1 Zn 0.0000 0.0000 0.0000 x2  2 Ir 2.63, 6 Au 2.76-2.88
2 Ir 0.2660 0.0000 0.7852 x2  2 Zn 2.63, 7 Au 2.79-2.90
3 Au 0.0088 0.5000 0.5200 x2  4 Zn 2.76-2.88, 5 Au 2.82-2.99, 3 Ir 2.84-2.90
4 Au 0.2467 0.5000 0.2670 x2  3 Zn 2.77-2.99, 4 Ir 2.79-2.86, 5 Au 2.82-2.99

Computed, not measured: a relaxed structure of NbAsSe4 at the GGA-PBE level of DFT.

Output
Distance to the lowest polymorph of the same formula (meV per atom): 35
Formation energy from raw total energies (eV/atom): -0.24

Unit cell a=8.7456 b=12.5806 c=4.8933 alpha=90.00 beta=99.75 gamma=90.00
Closest atoms and distances in Å follow each position.
Space group C2/m (No. 12)
Unique sites:
1 Nb 0.0000 0.1802 0.0000 x4  8 Se 2.60-2.86
2 As 0.1545 0.5000 0.3696 x4  3 Se 2.50-2.68
3 Se 0.0000 0.2500 0.5000 x4  2 Nb 2.60
4 Se 0.0714 0.0000 0.2905 x4  1 Se 2.57, 1 As 2.68, 2 Nb 2.69
5 Se 0.1924 0.3645 0.0146 x8  1 As 2.50, 1 Nb 2.76

Computed, not measured: a relaxed structure of HoScBeHg at the GGA-PBE level of DFT.

Output
Energy relative to the elements (eV/f.u.): -0.51

Unit cell a=6.9752 b=6.9752 c=6.9752 alpha=90.00 beta=90.00 gamma=90.00
Closest atoms and distances in Å follow each position.
Space group F-43m (No. 216)
Unique sites:
1 Ho 0.0000 0.0000 0.0000 x4  4 Hg 3.02, 4 Be 3.02
2 Sc 0.0000 0.0000 0.5000 x4  4 Be 3.02, 4 Hg 3.02
3 Be 0.2500 0.2500 0.2500 x4  4 Ho 3.02, 4 Sc 3.02
4 Hg 0.2500 0.2500 0.7500 x4  4 Ho 3.02, 4 Sc 3.02

Computed, not measured: a relaxed structure of K2YTc at the GGA-PBE level of DFT.

Output
Energy relative to the elements (eV/f.u.): 3.55
Distance to the lowest polymorph of the same formula (meV per atom): 284

Unit cell a=3.3524 b=6.6879 c=13.3791 alpha=90.00 beta=90.00 gamma=90.00
Closest atoms and distances in Å follow each position.
Space group Imm2 (No. 44)
Unique sites:
1 K 0.0000 0.0000 0.0000 x2  2 K 3.35, 2 Tc 3.41
2 K 0.0000 0.5000 0.1923 x2  2 K 3.35
3 Y 0.0000 0.0000 0.3693 x2  2 Tc 2.59
4 Tc 0.0000 0.5000 0.7222 x2  2 Y 2.59

Computed, not measured: a relaxed structure of LaPm6Tm8 at the GGA-PBE level of DFT.

Output
Energy relative to the elements (eV/f.u.): 1.98

Unit cell a=9.0293 b=9.0293 c=20.8506 alpha=90.00 beta=90.00 gamma=120.00
Closest atoms and distances in Å follow each position.
Space group R-3 (No. 148, hexagonal axes)
Unique sites:
1 La 0.0000 0.0000 0.0000 x3  6 Pm 3.45, 6 Tm 3.56
2 Pm 0.0617 0.2469 0.7109 x18  4 Tm 3.36-3.69, 1 La 3.45, 2 Pm 3.48
3 Tm 0.0000 0.0000 0.4234 x6  4 Tm 3.19-3.41, 3 Pm 3.45
4 Tm 0.0795 0.5563 0.8083 x18  3 Pm 3.36-3.69, 5 Tm 3.40-3.45, 1 La 3.56

Computed, not measured: a relaxed structure of TmCd2B2O6 at the GGA-PBE level of DFT.

Output
Formation energy from raw total energies (eV/atom): -2.16

Unit cell a=5.1530 b=5.1530 c=6.9733 alpha=90.00 beta=90.00 gamma=120.00
Closest atoms and distances in Å follow each position.
Space group P-3 (No. 147)
Unique sites:
1 Tm 0.0000 0.0000 0.0000 x1  6 O 2.24
2 Cd 0.3333 0.6667 0.3310 x2  3 O 2.25
3 B 0.3333 0.6667 0.8064 x2  3 O 1.39
4 O 0.0843 0.7029 0.8065 x6  1 B 1.39

no.,energy (Ry/atom)
1,-0.369
2,-0.549
3,-0.301
4,-0.369
5,-0.284
6,-0.284
7,-0.329
8,-0.489